DFT (PBE) results for a relaxed structure of Ir2RuBr.

* formation energy (no corrections): 1.133 eV/atom
* electronic total energy: -0.222 hartree per atom
* offset from the most stable computed form: 592 meV/atom

abc: 6.276 6.276 8.728
angles: 90.00 90.00 90.00
Element x y z (fractional)
1 Ir 0.223 0.750 0.125
2 Ir 0.250 0.223 0.875
3 Ir 0.250 0.277 0.375
4 Ir 0.277 0.750 0.625
5 Ir 0.723 0.250 0.625
6 Ir 0.750 0.723 0.375
7 Ir 0.750 0.777 0.875
8 Ir 0.777 0.250 0.125
9 Ru 0.000 0.000 0.000
10 Ru 0.000 0.500 0.250
11 Ru 0.500 0.000 0.750
12 Ru 0.500 0.500 0.500
13 Br 0.000 0.000 0.500
14 Br 0.000 0.500 0.750
15 Br 0.500 0.000 0.250
16 Br 0.500 0.500 0.000

DFT (PBE) results for a relaxed structure of Ir2RuBr.

* formation energy (no corrections): 0.615 eV/atom
* electronic total energy: -0.241 hartree per atom
* offset from the most stable computed form: 74 meV/atom

abc: 2.811 2.811 29.530
angles: 90.00 90.00 120.00
Element x y z (fractional)
1 Ir 0.000 0.000 0.000
2 Ir 0.000 0.000 0.259
3 Ir 0.333 0.667 0.667
4 Ir 0.333 0.667 0.925
5 Ir 0.667 0.333 0.333
6 Ir 0.667 0.333 0.592
7 Ru 0.000 0.000 0.522
8 Ru 0.333 0.667 0.188
9 Ru 0.667 0.333 0.855
10 Br 0.000 0.000 0.780
11 Br 0.333 0.667 0.446
12 Br 0.667 0.333 0.113

DFT (PBE) results for a relaxed structure of IrRuBr2.

* formation energy (no corrections): 1.003 eV/atom
* electronic total energy: -0.160 hartree per atom
* offset from the most stable computed form: 745 meV/atom

abc: 4.458 3.135 5.430
angles: 90.00 114.02 90.00
Element x y z (fractional)
1 Ir 0.000 0.000 0.000
2 Ru 0.000 0.500 0.500
3 Br 0.500 0.000 0.500
4 Br 0.500 0.500 0.000

DFT (PBE) results for a relaxed structure of IrRu2Br.

* formation energy (no corrections): 1.128 eV/atom
* electronic total energy: -0.226 hartree per atom
* offset from the most stable computed form: 581 meV/atom

abc: 6.316 6.316 6.316
angles: 90.00 90.00 90.00
Element x y z (fractional)
1 Ir 0.000 0.000 0.000
2 Ir 0.000 0.500 0.500
3 Ir 0.500 0.000 0.500
4 Ir 0.500 0.500 0.000
5 Ru 0.000 0.000 0.500
6 Ru 0.000 0.500 0.000
7 Ru 0.250 0.250 0.750
8 Ru 0.250 0.750 0.250
9 Ru 0.500 0.000 0.000
10 Ru 0.500 0.500 0.500
11 Ru 0.750 0.250 0.250
12 Ru 0.750 0.750 0.750
13 Br 0.250 0.250 0.250
14 Br 0.250 0.750 0.750
15 Br 0.750 0.250 0.750
16 Br 0.750 0.750 0.250

DFT (PBE) results for a relaxed structure of IrRu2Br.

* formation energy (no corrections): 0.898 eV/atom
* electronic total energy: -0.234 hartree per atom
* offset from the most stable computed form: 351 meV/atom

abc: 2.856 4.658 9.267
angles: 90.00 90.00 90.00
Element x y z (fractional)
1 Ir 0.000 0.000 0.000
2 Ir 0.500 0.500 0.500
3 Ru 0.000 0.000 0.514
4 Ru 0.000 0.500 0.757
5 Ru 0.500 0.000 0.257
6 Ru 0.500 0.500 0.014
7 Br 0.000 0.500 0.250
8 Br 0.500 0.000 0.750

DFT (PBE) results for a relaxed structure of IrRuSeBr2.

* formation energy (no corrections): 1.059 eV/atom
* electronic total energy: -0.145 hartree per atom
* offset from the most stable computed form: 0 meV/atom

abc: 5.254 5.254 4.682
angles: 90.00 90.00 90.00
Element x y z (fractional)
1 Ir 0.000 0.000 0.000
2 Ru 0.500 0.500 0.500
3 Se 0.000 0.000 0.500
4 Br 0.000 0.500 0.000
5 Br 0.500 0.000 0.000